{
  "formula": "Bi2Pb2S5",
  "functional": "GGA-PBEsol",
  "state": "optimized geometry",
  "formation_energy_uncorrected_ev_per_atom": -0.430,
  "m_tot_mub_per_atom": 0.0000,
  "cell": [[-0.8833, -3.1616, 2.3040], [1.6082, -11.6013, -15.3030], [23.1400, -3.0226, 4.7233]],
  "species": ["Bi", "Bi", "Bi", "Bi", "Bi", "Bi", "Bi", "Bi", "Bi", "Bi", "Bi", "Bi", "Bi", "Bi", "Bi", "Bi", "Pb", "Pb", "Pb", "Pb", "Pb", "Pb", "Pb", "Pb", "Pb", "Pb", "Pb", "Pb", "Pb", "Pb", "Pb", "Pb", "S", "S", "S", "S", "S", "S", "S", "S", "S", "S", "S", "S", "S", "S", "S", "S", "S", "S", "S", "S", "S", "S", "S", "S", "S", "S", "S", "S", "S", "S", "S", "S", "S", "S", "S", "S", "S", "S", "S", "S"],
  "fractional_positions": [[0.2500, 0.0980, 0.2952], [0.2500, 0.9873, 0.1478], [0.7500, 0.4873, 0.3522], [0.7500, 0.1932, 0.1680], [0.7500, 0.5980, 0.2048], [0.7500, 0.0989, 0.0089], [0.2500, 0.9011, 0.9911], [0.2500, 0.8068, 0.8320], [0.7500, 0.4011, 0.5089], [0.2500, 0.5989, 0.4911], [0.7500, 0.3068, 0.6680], [0.2500, 0.5127, 0.6478], [0.7500, 0.9020, 0.7048], [0.2500, 0.4020, 0.7952], [0.2500, 0.6932, 0.3320], [0.7500, 0.0127, 0.8522], [0.7500, 0.6082, 0.7947], [0.7500, 0.7864, 0.1345], [0.7500, 0.7136, 0.6345], [0.2500, 0.1082, 0.7053], [0.7500, 0.8918, 0.2947], [0.2500, 0.9682, 0.5684], [0.7500, 0.7154, 0.9623], [0.2500, 0.5318, 0.0684], [0.2500, 0.2846, 0.0377], [0.7500, 0.4682, 0.9316], [0.7500, 0.7846, 0.4623], [0.2500, 0.2154, 0.5377], [0.2500, 0.2136, 0.8655], [0.7500, 0.0318, 0.4316], [0.2500, 0.3918, 0.2053], [0.2500, 0.2864, 0.3655], [0.7500, 0.8702, 0.9125], [0.2500, 0.4488, 0.4327], [0.7500, 0.9136, 0.5027], [0.7500, 0.3146, 0.1226], [0.7500, 0.1339, 0.8032], [0.2500, 0.9635, 0.7825], [0.2500, 0.6339, 0.6968], [0.7500, 0.5864, 0.0027], [0.7500, 0.1854, 0.6226], [0.2500, 0.6854, 0.8774], [0.2500, 0.8421, 0.6453], [0.2500, 0.4136, 0.9973], [0.2500, 0.6579, 0.1453], [0.7500, 0.4635, 0.7175], [0.2500, 0.2318, 0.2361], [0.7500, 0.0233, 0.6541], [0.2500, 0.9767, 0.3459], [0.7500, 0.4767, 0.1541], [0.2500, 0.1298, 0.0875], [0.7500, 0.3661, 0.3032], [0.2500, 0.5233, 0.8459], [0.7500, 0.2185, 0.9594], [0.2500, 0.5365, 0.2825], [0.7500, 0.7318, 0.2639], [0.7500, 0.7682, 0.7639], [0.2500, 0.8146, 0.3774], [0.2500, 0.7185, 0.5406], [0.2500, 0.0512, 0.9327], [0.7500, 0.0365, 0.2175], [0.7500, 0.5512, 0.5673], [0.7500, 0.9488, 0.0673], [0.7500, 0.6298, 0.4125], [0.2500, 0.8661, 0.1968], [0.7500, 0.2815, 0.4594], [0.2500, 0.0864, 0.4973], [0.2500, 0.2682, 0.7361], [0.2500, 0.7815, 0.0406], [0.7500, 0.1579, 0.3547], [0.2500, 0.3702, 0.5875], [0.7500, 0.3421, 0.8547]]
}